w.
Computed, not measured: a PBEsol-optimized structure of KZn2Fe at the meta-GGA SCAN level of DFT.

abc: 6.751 6.751 6.751
angles: 90.00 90.00 90.00
Space group Fm-3m (No. 225)
Symmetry-distinct sites (fractional):
K (0.000, 0.000, 0.000) x4
Zn (0.250, 0.250, 0.250) x8
Fe (0.000, 0.000, 0.500) x4

Results
Magnetic moment, μB per cell: 12.412

x.
Computed, not measured: a PBEsol-optimized structure of KZn2Fe at the meta-GGA SCAN level of DFT.

abc: 2.7991 2.7991 29.4691
angles: 90.00 90.00 120.00
Space group R-3m (No. 166, hexagonal axes)
Symmetry-distinct sites (fractional):
K (0.0000, 0.0000, 0.0000) x3
Zn (0.0000, 0.0000, 0.2345) x6
Fe (0.0000, 0.0000, 0.5000) x3

Results
Magnetic moment, μB per cell: 7.913

From most stable to least stable, the computed energies give x, w.

w.
Computed, not measured: a PBEsol-optimized structure of Li2LaFe at the meta-GGA SCAN level of DFT.

abc: 3.275 4.394 10.355
angles: 90.00 90.00 90.00
Space group Immm (No. 71)
Symmetry-distinct sites (fractional):
Li (0.000, 0.000, 0.218) x4
La (0.000, 0.500, 0.000) x2
Fe (0.000, 0.500, 0.500) x2

Results
Magnetic moment, μB per cell: 2.650

x.
Computed, not measured: a PBEsol-optimized structure of Li2LaFe at the meta-GGA SCAN level of DFT.

abc: 3.053 4.928 10.419
angles: 90.00 90.00 90.00
Space group Cmmm (No. 65)
Symmetry-distinct sites (fractional):
Li (0.000, 0.000, 0.206) x4
La (0.000, 0.500, 0.500) x2
Fe (0.000, 0.500, 0.000) x2

Results
Magnetic moment, μB per cell: 6.059

From most stable to least stable, the computed energies give w, x.

w.
Computed, not measured: a PBEsol-optimized structure of LaFeOs at the meta-GGA SCAN level of DFT.

abc: 3.052 3.052 11.557
angles: 90.00 90.00 90.00
Space group I4mm (No. 107)
Symmetry-distinct sites (fractional):
La (0.000, 0.000, 0.000) x2
Fe (0.000, 0.000, 0.701) x2
Os (0.000, 0.000, 0.298) x2

Results
Magnetic moment, μB per cell: 5.006

x.
Computed, not measured: a PBEsol-optimized structure of LaFeOs at the meta-GGA SCAN level of DFT.

abc: 2.8608 2.8608 7.2669
angles: 90.00 90.00 120.00
Space group P3m1 (No. 156)
Symmetry-distinct sites (fractional):
La (0.0000, 0.0000, 0.0000) x1
Fe (0.6667, 0.3333, 0.3643) x1
Os (0.3333, 0.6667, 0.6186) x1

Results
Magnetic moment, μB per cell: 2.647

From most stable to least stable, the computed energies give w, x.